Entry 1:
Below is crystalline Cd2Si at its relaxed geometry, with properties calculated at the PBE level.

abc: 4.4420 4.4420 3.8952
angles: 90.00 90.00 120.00
Space group P-3m1 (No. 164)
One atom of each set of equivalent atoms:
1 Cd 0.3333 0.6667 0.2886 [2 per cell]
2 Si 0.0000 0.0000 0.0000 [1 per cell]

DOS at the Fermi energy (states/eV/cell): 0.998
E_form (uncorrected) (kJ/mol of formula units): 109



Entry 2:
Below is crystalline Cd5Si at its relaxed geometry, with properties calculated at the PBE level.

abc: 8.183 8.183 8.183
angles: 90.00 90.00 90.00
Space group F-43m (No. 216)
One atom of each set of equivalent atoms:
1 Cd 0.000 0.000 0.000 [4 per cell]
2 Cd 0.125 0.125 0.625 [16 per cell]
3 Si 0.250 0.250 0.250 [4 per cell]

Polymorph energy (0 for the lowest one) (kJ per mole of atoms): 16.8
DOS at the Fermi energy (states/eV/cell): 12.907
E_form (uncorrected) (kJ/mol of formula units): 192



Entry 3:
Below is crystalline CdSi3 at its relaxed geometry, with properties calculated at the PBE level.

abc: 5.245 5.245 5.245
angles: 90.00 90.00 90.00
Space group Pm-3n (No. 223)
One atom of each set of equivalent atoms:
1 Cd 0.000 0.000 0.000 [2 per cell]
2 Si 0.000 0.250 0.500 [6 per cell]

Polymorph energy (0 for the lowest one) (kJ per mole of atoms): 29.3
DOS at the Fermi energy (states/eV/cell): 3.715
E_form (uncorrected) (kJ/mol of formula units): 262



Entry 4:
Below is crystalline CdSi2 at its relaxed geometry, with properties calculated at the PBE level.

abc: 2.8178 2.8178 8.0522
angles: 90.00 90.00 120.00
Space group P-3m1 (No. 164)
One atom of each set of equivalent atoms:
1 Cd 0.0000 0.0000 0.0000 [1 per cell]
2 Si 0.3333 0.6667 0.6333 [2 per cell]

Polymorph energy (0 for the lowest one) (kJ per mole of atoms): 11.6
DOS at the Fermi energy (states/eV/cell): 0.382
E_form (uncorrected) (kJ/mol of formula units): 133



Entry 5:
Below is crystalline Cd5Si at its relaxed geometry, with properties calculated at the PBE level.

abc: 5.6177 5.6177 4.8776
angles: 90.00 90.00 120.00
Space group P-62m (No. 189)
One atom of each set of equivalent atoms:
1 Cd 0.0000 0.6761 0.0000 [3 per cell]
2 Cd 0.3333 0.6667 0.5000 [2 per cell]
3 Si 0.0000 0.0000 0.5000 [1 per cell]

Polymorph energy (0 for the lowest one) (kJ per mole of atoms): 3.4
DOS at the Fermi energy (states/eV/cell): 2.181
E_form (uncorrected) (kJ/mol of formula units): 112



Entry 6:
Below is crystalline Cd6Si7 at its relaxed geometry, with properties calculated at the PBE level.

abc: 4.9977 4.9977 35.3417
angles: 90.00 90.00 120.00
Space group R-3m (No. 166, hexagonal axes)
One atom of each set of equivalent atoms:
1 Cd 0.0000 0.0000 0.0427 [6 per cell]
2 Cd 0.0000 0.0000 0.1500 [6 per cell]
3 Cd 0.0000 0.0000 0.3193 [6 per cell]
4 Si 0.0000 0.0000 0.5000 [3 per cell]
5 Si 0.0009 0.5005 0.0956 [18 per cell]

DOS at the Fermi energy (states/eV/cell): 12.648
E_form (uncorrected) (kJ/mol of formula units): 453